(1)
This record from Alexandria via LeMat-Bulk describes Zn4SnAu after structural relaxation. The functional is PBE.

Properties
* total energy: -2.02 eV/atom

```
data_Zn4SnAu
_symmetry_space_group_name_H-M 'F -4 3 m'
_symmetry_Int_Tables_number 216
_symmetry_space_group_name_Hall 'F -4 2 3'
_cell_length_a 7.497
_cell_length_b 7.497
_cell_length_c 7.497
_cell_angle_alpha 90.00
_cell_angle_beta 90.00
_cell_angle_gamma 90.00
loop_
_atom_site_label
_atom_site_fract_x
_atom_site_fract_y
_atom_site_fract_z
Zn1 0.124 0.124 0.124
Sn1 0.000 0.000 0.500
Au1 0.250 0.250 0.750
```

***

(2)
This record from Alexandria via LeMat-Bulk describes Zn2SnAu7 after structural relaxation. The functional is PBE.

Properties
* total energy: -2.97 eV/atom

```
data_Zn2SnAu7
_symmetry_space_group_name_H-M 'C m m m'
_symmetry_Int_Tables_number 65
_symmetry_space_group_name_Hall '-C 2 2'
_cell_length_a 6.990
_cell_length_b 15.943
_cell_length_c 3.778
_cell_angle_alpha 90.00
_cell_angle_beta 90.00
_cell_angle_gamma 90.00
loop_
_atom_site_label
_atom_site_fract_x
_atom_site_fract_y
_atom_site_fract_z
Zn1 0.000 0.245 0.000
Sn1 0.000 0.500 0.500
Au1 0.000 0.000 0.000
Au2 0.000 0.134 0.500
Au3 0.199 0.383 0.000
```

***

(3)
This record from Alexandria via LeMat-Bulk describes ZnSnAu after structural relaxation. The functional is PBE.

Properties
* total energy: -2.88 eV/atom

```
data_ZnSnAu
_symmetry_space_group_name_H-M 'I 4 m m'
_symmetry_Int_Tables_number 107
_symmetry_space_group_name_Hall 'I 4 -2'
_cell_length_a 3.922
_cell_length_b 3.922
_cell_length_c 7.990
_cell_angle_alpha 90.00
_cell_angle_beta 90.00
_cell_angle_gamma 90.00
loop_
_atom_site_label
_atom_site_fract_x
_atom_site_fract_y
_atom_site_fract_z
Zn1 0.000 0.000 0.000
Sn1 0.000 0.000 0.330
Au1 0.000 0.000 0.676
```

***

(4)
This record from Alexandria via LeMat-Bulk describes Zn2SnAu after structural relaxation. The functional is PBE.

Properties
* total energy: -2.50 eV/atom

```
data_Zn2SnAu
_symmetry_space_group_name_H-M 'C 1 m 1'
_symmetry_Int_Tables_number 8
_cell_length_a 7.555
_cell_length_b 4.449
_cell_length_c 5.376
_cell_angle_alpha 90.00
_cell_angle_beta 114.85
_cell_angle_gamma 90.00
loop_
_symmetry_equiv_pos_as_xyz
'x,y,z'
'x,-y,z'
'x+1/2,y+1/2,z'
'x+1/2,-y+1/2,z'
loop_
_atom_site_label
_atom_site_fract_x
_atom_site_fract_y
_atom_site_fract_z
Zn1 0.000 0.000 0.000
Zn2 0.204 0.000 0.619
Sn1 0.422 0.000 0.269
Au1 0.119 0.500 0.847
```

***

(5)
This record from Alexandria via LeMat-Bulk describes ZnSnAu2 after structural relaxation. The functional is PBE.

Properties
* total energy: -3.08 eV/atom

```
data_ZnSnAu2
_symmetry_space_group_name_H-M 'R -3 m'
_symmetry_Int_Tables_number 166
_symmetry_space_group_name_Hall '-R 3 2"'
_cell_length_a 4.1992
_cell_length_b 4.1992
_cell_length_c 16.3552
_cell_angle_alpha 90.00
_cell_angle_beta 90.00
_cell_angle_gamma 120.00
loop_
_atom_site_label
_atom_site_fract_x
_atom_site_fract_y
_atom_site_fract_z
Zn1 0.0000 0.0000 0.0000
Sn1 0.0000 0.0000 0.5000
Au1 0.0000 0.0000 0.2661
```

***

(6)
This record from Alexandria via LeMat-Bulk describes ZnSn2Au after structural relaxation. The functional is PBE.

Properties
* total energy: -3.18 eV/atom

```
data_ZnSn2Au
_symmetry_space_group_name_H-M 'C 1 m 1'
_symmetry_Int_Tables_number 8
_cell_length_a 7.537
_cell_length_b 4.415
_cell_length_c 6.245
_cell_angle_alpha 90.00
_cell_angle_beta 114.65
_cell_angle_gamma 90.00
loop_
_symmetry_equiv_pos_as_xyz
'x,y,z'
'x,-y,z'
'x+1/2,y+1/2,z'
'x+1/2,-y+1/2,z'
loop_
_atom_site_label
_atom_site_fract_x
_atom_site_fract_y
_atom_site_fract_z
Zn1 0.000 0.000 0.000
Sn1 0.198 0.000 0.612
Sn2 0.419 0.000 0.248
Au1 0.115 0.500 0.856
```

***

(7)
This record from Alexandria via LeMat-Bulk describes Zn12Sn2Au7 after structural relaxation. The functional is PBE.

Properties
* total energy: -2.35 eV/atom

```
data_Zn12Sn2Au7
_symmetry_space_group_name_H-M 'P -6'
_symmetry_Int_Tables_number 174
_cell_length_a 11.2922
_cell_length_b 11.2922
_cell_length_c 3.3696
_cell_angle_alpha 90.00
_cell_angle_beta 90.00
_cell_angle_gamma 120.00
loop_
_symmetry_equiv_pos_as_xyz
'x,y,z'
'-x+y,-x,-z'
'-y,x-y,z'
'x,y,-z'
'-x+y,-x,z'
'-y,x-y,-z'
loop_
_atom_site_label
_atom_site_fract_x
_atom_site_fract_y
_atom_site_fract_z
Zn1 0.0527 0.2790 0.0000
Zn2 0.1188 0.7276 0.5000
Zn3 0.4034 0.1562 0.5000
Zn4 0.5079 0.3995 0.0000
Sn1 0.0000 0.0000 0.5000
Sn2 0.3333 0.6667 0.0000
Au1 0.0831 0.4810 0.5000
Au2 0.2382 0.1916 0.0000
Au3 0.6667 0.3333 0.5000
```

***

(8)
This record from Alexandria via LeMat-Bulk describes ZnSnAu2 after structural relaxation. The functional is PBE.

Properties
* total energy: -3.11 eV/atom

```
data_ZnSnAu2
_symmetry_space_group_name_H-M 'P 1 21/m 1'
_symmetry_Int_Tables_number 11
_cell_length_a 5.691
_cell_length_b 3.832
_cell_length_c 7.598
_cell_angle_alpha 90.00
_cell_angle_beta 106.52
_cell_angle_gamma 90.00
loop_
_symmetry_equiv_pos_as_xyz
'x,y,z'
'-x,-y,-z'
'-x,y+1/2,-z'
'x,-y+1/2,z'
loop_
_atom_site_label
_atom_site_fract_x
_atom_site_fract_y
_atom_site_fract_z
Zn1 0.116 0.250 0.414
Sn1 0.279 0.750 0.101
Au1 0.164 0.250 0.796
Au2 0.430 0.750 0.626
```

***

(9)
This record from Alexandria via LeMat-Bulk describes ZnSn2Au6 after structural relaxation. The functional is PBE.

Properties
* total energy: -3.28 eV/atom

```
data_ZnSn2Au6
_symmetry_space_group_name_H-M 'C m m m'
_symmetry_Int_Tables_number 65
_symmetry_space_group_name_Hall '-C 2 2'
_cell_length_a 7.453
_cell_length_b 14.008
_cell_length_c 3.546
_cell_angle_alpha 90.00
_cell_angle_beta 90.00
_cell_angle_gamma 90.00
loop_
_atom_site_label
_atom_site_fract_x
_atom_site_fract_y
_atom_site_fract_z
Zn1 0.000 0.000 0.000
Sn1 0.000 0.308 0.500
Au1 0.193 0.154 0.000
Au2 0.202 0.500 0.500
```

***

(10)
This record from Alexandria via LeMat-Bulk describes Zn2SnAu8 after structural relaxation. The functional is PBE.

Properties
* excess energy over the best structure of this formula in the dataset: 0 meV per atom
* total energy: -3.09 eV/atom

```
data_Zn2SnAu8
_symmetry_space_group_name_H-M 'C 1 2/m 1'
_symmetry_Int_Tables_number 12
_cell_length_a 14.997
_cell_length_b 4.081
_cell_length_c 6.759
_cell_angle_alpha 90.00
_cell_angle_beta 105.79
_cell_angle_gamma 90.00
loop_
_symmetry_equiv_pos_as_xyz
'x,y,z'
'-x,-y,-z'
'-x,y,-z'
'x,-y,z'
'x+1/2,y+1/2,z'
'-x+1/2,-y+1/2,-z'
'-x+1/2,y+1/2,-z'
'x+1/2,-y+1/2,z'
loop_
_atom_site_label
_atom_site_fract_x
_atom_site_fract_y
_atom_site_fract_z
Zn1 0.217 0.000 0.161
Sn1 0.000 0.500 0.500
Au1 0.040 0.000 0.222
Au2 0.105 0.500 0.972
Au3 0.159 0.000 0.733
Au4 0.178 0.500 0.427
```

***

(11)
This record from Alexandria via LeMat-Bulk describes ZnSn2Au after structural relaxation. The functional is PBE.

Properties
* total energy: -3.10 eV/atom

```
data_ZnSn2Au
_symmetry_space_group_name_H-M 'P 4/m m m'
_symmetry_Int_Tables_number 123
_symmetry_space_group_name_Hall '-P 4 2'
_cell_length_a 3.509
_cell_length_b 3.509
_cell_length_c 7.218
_cell_angle_alpha 90.00
_cell_angle_beta 90.00
_cell_angle_gamma 90.00
loop_
_atom_site_label
_atom_site_fract_x
_atom_site_fract_y
_atom_site_fract_z
Zn1 0.000 0.000 0.000
Sn1 0.500 0.500 0.254
Au1 0.000 0.000 0.500
```

***

(12)
This record from Alexandria via LeMat-Bulk describes ZnSn3Au after structural relaxation. The functional is PBE.

Properties
* total energy: -2.86 eV/atom

```
data_ZnSn3Au
_symmetry_space_group_name_H-M 'P m -3 m'
_symmetry_Int_Tables_number 221
_symmetry_space_group_name_Hall '-P 4 2 3'
_cell_length_a 5.413
_cell_length_b 5.413
_cell_length_c 5.413
_cell_angle_alpha 90.00
_cell_angle_beta 90.00
_cell_angle_gamma 90.00
loop_
_atom_site_label
_atom_site_fract_x
_atom_site_fract_y
_atom_site_fract_z
Zn1 0.000 0.000 0.000
Sn1 0.000 0.500 0.500
Au1 0.500 0.500 0.500
```

***

(13)
This record from Alexandria via LeMat-Bulk describes Zn5Sn3Au12 after structural relaxation. The functional is PBE.

Properties
* total energy: -2.80 eV/atom

```
data_Zn5Sn3Au12
_symmetry_space_group_name_H-M 'I a -3 d'
_symmetry_Int_Tables_number 230
_symmetry_space_group_name_Hall '-I 4bd 2c 3'
_cell_length_a 15.573
_cell_length_b 15.573
_cell_length_c 15.573
_cell_angle_alpha 90.00
_cell_angle_beta 90.00
_cell_angle_gamma 90.00
loop_
_atom_site_label
_atom_site_fract_x
_atom_site_fract_y
_atom_site_fract_z
Zn1 0.000 0.000 0.000
Zn2 0.000 0.250 0.375
Sn1 0.000 0.250 0.125
Au1 0.015 0.072 0.650
```

***

(14)
This record from Alexandria via LeMat-Bulk describes Zn2Sn2Au3 after structural relaxation. The functional is PBE.

Properties
* total energy: -3.04 eV/atom

```
data_Zn2Sn2Au3
_symmetry_space_group_name_H-M 'C 1 2/m 1'
_symmetry_Int_Tables_number 12
_cell_length_a 7.939
_cell_length_b 4.335
_cell_length_c 9.181
_cell_angle_alpha 90.00
_cell_angle_beta 112.13
_cell_angle_gamma 90.00
loop_
_symmetry_equiv_pos_as_xyz
'x,y,z'
'-x,-y,-z'
'-x,y,-z'
'x,-y,z'
'x+1/2,y+1/2,z'
'-x+1/2,-y+1/2,-z'
'-x+1/2,y+1/2,-z'
'x+1/2,-y+1/2,z'
loop_
_atom_site_label
_atom_site_fract_x
_atom_site_fract_y
_atom_site_fract_z
Zn1 0.134 0.000 0.391
Sn1 0.121 0.500 0.872
Au1 0.000 0.500 0.500
Au2 0.240 0.000 0.730
```

***

(15)
This record from Alexandria via LeMat-Bulk describes ZnSnAu2 after structural relaxation. The functional is PBE.

Properties
* total energy: -3.07 eV/atom

```
data_ZnSnAu2
_symmetry_space_group_name_H-M 'P 4/m m m'
_symmetry_Int_Tables_number 123
_symmetry_space_group_name_Hall '-P 4 2'
_cell_length_a 3.306
_cell_length_b 3.306
_cell_length_c 7.107
_cell_angle_alpha 90.00
_cell_angle_beta 90.00
_cell_angle_gamma 90.00
loop_
_atom_site_label
_atom_site_fract_x
_atom_site_fract_y
_atom_site_fract_z
Zn1 0.000 0.000 0.000
Sn1 0.000 0.000 0.500
Au1 0.500 0.500 0.210
```

***

(16)
This record from Alexandria via LeMat-Bulk describes ZnSn2Au after structural relaxation. The functional is PBE.

Properties
* total energy: -3.09 eV/atom

```
data_ZnSn2Au
_symmetry_space_group_name_H-M 'I -4 2 d'
_symmetry_Int_Tables_number 122
_symmetry_space_group_name_Hall 'I -4 2bw'
_cell_length_a 4.608
_cell_length_b 4.608
_cell_length_c 18.080
_cell_angle_alpha 90.00
_cell_angle_beta 90.00
_cell_angle_gamma 90.00
loop_
_atom_site_label
_atom_site_fract_x
_atom_site_fract_y
_atom_site_fract_z
Zn1 0.000 0.000 0.000
Sn1 0.246 0.250 0.125
Au1 0.000 0.000 0.500
```

***

(17)
This record from Alexandria via LeMat-Bulk describes ZnSnAu2 after structural relaxation. The functional is PBE.

Properties
* total energy: -3.05 eV/atom

```
data_ZnSnAu2
_symmetry_space_group_name_H-M 'R 3 m'
_symmetry_Int_Tables_number 160
_symmetry_space_group_name_Hall 'R 3 -2"'
_cell_length_a 4.2464
_cell_length_b 4.2464
_cell_length_c 16.0792
_cell_angle_alpha 90.00
_cell_angle_beta 90.00
_cell_angle_gamma 120.00
loop_
_atom_site_label
_atom_site_fract_x
_atom_site_fract_y
_atom_site_fract_z
Zn1 0.0000 0.0000 0.0000
Sn1 0.0000 0.0000 0.1802
Au1 0.0000 0.0000 0.4063
Au2 0.0000 0.0000 0.6061
```

***

(18)
This record from Alexandria via LeMat-Bulk describes ZnSnAu2 after structural relaxation. The functional is PBE.

Properties
* total energy: -2.99 eV/atom

```
data_ZnSnAu2
_symmetry_space_group_name_H-M 'P 4/m m m'
_symmetry_Int_Tables_number 123
_symmetry_space_group_name_Hall '-P 4 2'
_cell_length_a 4.367
_cell_length_b 4.367
_cell_length_c 4.039
_cell_angle_alpha 90.00
_cell_angle_beta 90.00
_cell_angle_gamma 90.00
loop_
_atom_site_label
_atom_site_fract_x
_atom_site_fract_y
_atom_site_fract_z
Zn1 0.000 0.000 0.000
Sn1 0.500 0.500 0.000
Au1 0.000 0.500 0.500
```

***

(19)
This record from Alexandria via LeMat-Bulk describes Zn8SnAu2 after structural relaxation. The functional is PBE.

Properties
* total energy: -1.91 eV/atom

```
data_Zn8SnAu2
_symmetry_space_group_name_H-M 'C 1 2/m 1'
_symmetry_Int_Tables_number 12
_cell_length_a 11.669
_cell_length_b 5.689
_cell_length_c 5.951
_cell_angle_alpha 90.00
_cell_angle_beta 98.61
_cell_angle_gamma 90.00
loop_
_symmetry_equiv_pos_as_xyz
'x,y,z'
'-x,-y,-z'
'-x,y,-z'
'x,-y,z'
'x+1/2,y+1/2,z'
'-x+1/2,-y+1/2,-z'
'-x+1/2,y+1/2,-z'
'x+1/2,-y+1/2,z'
loop_
_atom_site_label
_atom_site_fract_x
_atom_site_fract_y
_atom_site_fract_z
Zn1 0.028 0.000 0.303
Zn2 0.111 0.272 0.000
Zn3 0.210 0.000 0.692
Sn1 0.000 0.500 0.500
Au1 0.240 0.500 0.722
```

***

(20)
This record from Alexandria via LeMat-Bulk describes ZnSnAu2 after structural relaxation. The functional is PBE.

Properties
* total energy: -3.00 eV/atom

```
data_ZnSnAu2
_symmetry_space_group_name_H-M 'I -4 2 d'
_symmetry_Int_Tables_number 122
_symmetry_space_group_name_Hall 'I -4 2bw'
_cell_length_a 4.330
_cell_length_b 4.330
_cell_length_c 18.054
_cell_angle_alpha 90.00
_cell_angle_beta 90.00
_cell_angle_gamma 90.00
loop_
_atom_site_label
_atom_site_fract_x
_atom_site_fract_y
_atom_site_fract_z
Zn1 0.000 0.000 0.000
Sn1 0.000 0.000 0.500
Au1 0.229 0.250 0.125
```

***

(21)
This record from Alexandria via LeMat-Bulk describes Zn2SnAu2 after structural relaxation. The functional is PBE.

Properties
* excess energy over the best structure of this formula in the dataset: 125 meV per atom
* total energy: -2.65 eV/atom

```
data_Zn2SnAu2
_symmetry_space_group_name_H-M 'I 4/m m m'
_symmetry_Int_Tables_number 139
_symmetry_space_group_name_Hall '-I 4 2'
_cell_length_a 4.034
_cell_length_b 4.034
_cell_length_c 12.120
_cell_angle_alpha 90.00
_cell_angle_beta 90.00
_cell_angle_gamma 90.00
loop_
_atom_site_label
_atom_site_fract_x
_atom_site_fract_y
_atom_site_fract_z
Zn1 0.000 0.000 0.102
Sn1 0.000 0.000 0.500
Au1 0.000 0.500 0.250
```

***

(22)
This record from Alexandria via LeMat-Bulk describes ZnSnAu2 after structural relaxation. The functional is PBE.

Properties
* total energy: -3.12 eV/atom

```
data_ZnSnAu2
_symmetry_space_group_name_H-M 'P m m n'
_symmetry_Int_Tables_number 59
_cell_length_a 4.411
_cell_length_b 5.802
_cell_length_c 6.492
_cell_angle_alpha 90.00
_cell_angle_beta 90.00
_cell_angle_gamma 90.00
loop_
_symmetry_equiv_pos_as_xyz
'x,y,z'
'-x,-y,-z'
'-x+1/2,-y+1/2,z'
'x+1/2,y+1/2,-z'
'x+1/2,-y,-z'
'-x+1/2,y,z'
'-x,y+1/2,-z'
'x,-y+1/2,z'
loop_
_atom_site_label
_atom_site_fract_x
_atom_site_fract_y
_atom_site_fract_z
Zn1 0.250 0.250 0.127
Sn1 0.250 0.750 0.382
Au1 0.250 0.505 0.780
```

***

The following ΔH_f (0 K) values (in eV/atom) correspond, in order, to the records above: 0.040; -0.023; -0.031; -0.047; -0.121; -0.038; -0.146; -0.151; -0.067; -0.107; 0.037; 0.447; 0.090; -0.129; -0.108; 0.048; -0.093; -0.031; -0.028; -0.042; -0.026; -0.158.